# 1
Pr4GaBr5 | PBE-GGA | relaxed

Values from the calculation:
Raw formation energy: -33.3 kcal/mol of atoms
Symmetry: C2/m, No. 12

CIF file:
```
data_Pr4GaBr5
_chemical_formula_sum 'Pr4 Ga1 Br5'
_symmetry_space_group_name_H-M 'P 1'
_symmetry_Int_Tables_number 1
_cell_length_a 4.253
_cell_length_b 8.768
_cell_length_c 9.759
_cell_angle_alpha 102.84
_cell_angle_beta 102.59
_cell_angle_gamma 90.00
loop_
_symmetry_equiv_pos_as_xyz
'x,y,z'
loop_
_atom_site_label
_atom_site_type_symbol
_atom_site_fract_x
_atom_site_fract_y
_atom_site_fract_z
Pr1 Pr 0.346 0.918 0.692
Pr2 Pr 0.000 0.768 0.999
Pr3 Pr 0.654 0.082 0.308
Pr4 Pr 0.000 0.232 0.001
Ga1 Ga 0.500 0.000 0.000
Br1 Br 0.833 0.670 0.667
Br2 Br 0.830 0.161 0.659
Br3 Br 0.170 0.839 0.341
Br4 Br 0.500 0.500 0.000
Br5 Br 0.167 0.330 0.333
```

=====

# 2
PrGa3Br6 | PBE-GGA | relaxed

Values from the calculation:
Raw formation energy: -24.5 kcal/mol of atoms
Symmetry: P2_1/c, No. 14

CIF file:
```
data_PrGa3Br6
_chemical_formula_sum 'Pr2 Ga6 Br12'
_symmetry_space_group_name_H-M 'P 1'
_symmetry_Int_Tables_number 1
_cell_length_a 7.564
_cell_length_b 8.456
_cell_length_c 11.133
_cell_angle_alpha 90.00
_cell_angle_beta 92.24
_cell_angle_gamma 90.00
loop_
_symmetry_equiv_pos_as_xyz
'x,y,z'
loop_
_atom_site_label
_atom_site_type_symbol
_atom_site_fract_x
_atom_site_fract_y
_atom_site_fract_z
Pr1 Pr 0.500 0.500 0.500
Pr2 Pr 0.000 0.000 0.000
Ga1 Ga 0.486 0.094 0.798
Ga2 Ga 0.500 0.500 0.000
Ga3 Ga 0.514 0.906 0.202
Ga4 Ga 0.986 0.406 0.298
Ga5 Ga 0.000 0.000 0.500
Ga6 Ga 0.014 0.594 0.702
Br1 Br 0.329 0.829 0.956
Br2 Br 0.324 0.782 0.591
Br3 Br 0.352 0.569 0.258
Br4 Br 0.648 0.431 0.742
Br5 Br 0.676 0.218 0.409
Br6 Br 0.671 0.171 0.044
Br7 Br 0.829 0.671 0.456
Br8 Br 0.824 0.718 0.091
Br9 Br 0.852 0.931 0.758
Br10 Br 0.148 0.069 0.242
Br11 Br 0.176 0.282 0.909
Br12 Br 0.171 0.329 0.544
```

=====

# 3
Pr2Ga2Br | PBE-GGA | relaxed

Values from the calculation:
Raw formation energy: -22.4 kcal/mol of atoms
Symmetry: R-3m, No. 166

CIF file:
```
data_Pr2Ga2Br
_chemical_formula_sum 'Pr2 Ga2 Br1'
_symmetry_space_group_name_H-M 'P 1'
_symmetry_Int_Tables_number 1
_cell_length_a 4.240
_cell_length_b 4.240
_cell_length_c 8.674
_cell_angle_alpha 89.99
_cell_angle_beta 104.15
_cell_angle_gamma 120.01
loop_
_symmetry_equiv_pos_as_xyz
'x,y,z'
loop_
_atom_site_label
_atom_site_type_symbol
_atom_site_fract_x
_atom_site_fract_y
_atom_site_fract_z
Pr1 Pr 0.835 0.417 0.252
Pr2 Pr 0.165 0.583 0.748
Ga1 Ga 0.349 0.174 0.523
Ga2 Ga 0.651 0.826 0.477
Br1 Br 0.000 0.000 0.000
```